[1]
A geometry-optimized PrTmCu2As4 structure. Source: the Open Quantum Materials Database, functional GGA-PBE.

As for the calculated total energy: -5.22 eV/atom.

The space group is P4mm (No. 99) and the conventional cell measures 3.947, 3.947 and 9.996 Å, with angles of 90.00, 90.00 and 90.00 degrees. Symmetry generates all atoms from Pr at (0.000, 0.000, 0.000), Tm at (0.500, 0.500, 0.475), Cu at (0.000, 0.500, 0.728), As at (0.000, 0.000, 0.571), As at (0.000, 0.500, 0.246) and As at (0.500, 0.500, 0.883).

---

[2]
A geometry-optimized PrZrCu2As4 structure. Source: the Open Quantum Materials Database, functional GGA-PBE.

As for the calculated total energy: -5.64 eV/atom.

The space group is P4mm (No. 99) and the conventional cell measures 3.920, 3.920 and 9.864 Å, with angles of 90.00, 90.00 and 90.00 degrees. Symmetry generates all atoms from Pr at (0.000, 0.000, 0.000), Zr at (0.500, 0.500, 0.461), Cu at (0.000, 0.500, 0.719), As at (0.000, 0.000, 0.555), As at (0.000, 0.500, 0.250) and As at (0.500, 0.500, 0.879).

---

[3]
A geometry-optimized CuReAsPt structure. Source: the Open Quantum Materials Database, functional GGA-PBE.

The offset from the most stable computed form comes out at 0.000 eV/atom. As for the calculated total energy: -6.48 eV/atom.

The space group is F-43m (No. 216) and the conventional cell measures 6.176, 6.176 and 6.176 Å, with angles of 90.00, 90.00 and 90.00 degrees. Symmetry generates all atoms from Cu at (0.000, 0.000, 0.000), Re at (0.000, 0.000, 0.500), As at (0.250, 0.250, 0.750) and Pt at (0.250, 0.250, 0.250).

---

[4]
A geometry-optimized ScCuAsPt structure. Source: the Open Quantum Materials Database, functional GGA-PBE.

The offset from the most stable computed form comes out at 0.040 eV/atom. As for the calculated total energy: -5.71 eV/atom.

The space group is F-43m (No. 216) and the conventional cell measures 6.392, 6.392 and 6.392 Å, with angles of 90.00, 90.00 and 90.00 degrees. Symmetry generates all atoms from Sc at (0.000, 0.000, 0.000), Cu at (0.250, 0.250, 0.750), As at (0.000, 0.000, 0.500) and Pt at (0.250, 0.250, 0.250).

---

[5]
A geometry-optimized ScCuAsPt structure. Source: the Open Quantum Materials Database, functional GGA-PBE.

The offset from the most stable computed form comes out at 0.000 eV/atom. As for the calculated total energy: -5.75 eV/atom.

The space group is F-43m (No. 216) and the conventional cell measures 6.399, 6.399 and 6.399 Å, with angles of 90.00, 90.00 and 90.00 degrees. Symmetry generates all atoms from Sc at (0.000, 0.000, 0.000), Cu at (0.000, 0.000, 0.500), As at (0.250, 0.250, 0.250) and Pt at (0.250, 0.250, 0.750).

---

[6]
A geometry-optimized SrCuAsPt structure. Source: the Open Quantum Materials Database, functional GGA-PBE.

The offset from the most stable computed form comes out at 0.157 eV/atom. As for the calculated total energy: -4.11 eV/atom.

The space group is F-43m (No. 216) and the conventional cell measures 6.844, 6.844 and 6.844 Å, with angles of 90.00, 90.00 and 90.00 degrees. Symmetry generates all atoms from Sr at (0.000, 0.000, 0.000), Cu at (0.000, 0.000, 0.500), As at (0.250, 0.250, 0.250) and Pt at (0.250, 0.250, 0.750).

---

[7]
A geometry-optimized SrCuAsPt structure. Source: the Open Quantum Materials Database, functional GGA-PBE.

The offset from the most stable computed form comes out at 0.000 eV/atom. As for the calculated total energy: -4.27 eV/atom.

The space group is F-43m (No. 216) and the conventional cell measures 6.729, 6.729 and 6.729 Å, with angles of 90.00, 90.00 and 90.00 degrees. Symmetry generates all atoms from Sr at (0.000, 0.000, 0.000), Cu at (0.250, 0.250, 0.250), As at (0.250, 0.250, 0.750) and Pt at (0.000, 0.000, 0.500).

---

[8]
A geometry-optimized SrCuAsPt structure. Source: the Open Quantum Materials Database, functional GGA-PBE.

The offset from the most stable computed form comes out at 0.079 eV/atom. As for the calculated total energy: -4.19 eV/atom.

The space group is F-43m (No. 216) and the conventional cell measures 6.827, 6.827 and 6.827 Å, with angles of 90.00, 90.00 and 90.00 degrees. Symmetry generates all atoms from Sr at (0.000, 0.000, 0.000), Cu at (0.250, 0.250, 0.250), As at (0.000, 0.000, 0.500) and Pt at (0.250, 0.250, 0.750).

---

[9]
A geometry-optimized Rb3CuAs2 structure. Source: the Open Quantum Materials Database, functional GGA-PBE.

As for the calculated total energy: -2.79 eV/atom.

The space group is C2/c (No. 15) and the conventional cell measures 10.763, 9.443 and 10.186 Å, with angles of 90.00, 115.56 and 90.00 degrees. Symmetry generates all atoms from Rb at (0.000, 0.165, 0.250), Rb at (0.197, 0.455, 0.983), Cu at (0.000, 0.211, 0.750) and As at (0.142, 0.216, 0.642).

---

[10]
A geometry-optimized RbCu2AsS3 structure. Source: the Open Quantum Materials Database, functional GGA-PBE.

As for the calculated total energy: -4.11 eV/atom.

The space group is P2_1/c (No. 14) and the conventional cell measures 9.495, 7.879 and 8.947 Å, with angles of 90.00, 107.31 and 90.00 degrees. Symmetry generates all atoms from Rb at (0.088, 0.062, 0.242), Cu at (0.320, 0.516, 0.218), Cu at (0.443, 0.245, 0.568), As at (0.355, 0.654, 0.547), S at (0.158, 0.697, 0.062), S at (0.254, 0.100, 0.926) and S at (0.450, 0.523, 0.792).

---

[11]
A geometry-optimized CuRe3As5 structure. Source: the Open Quantum Materials Database, functional GGA-PBE.

As for the calculated total energy: -6.59 eV/atom.

The space group is P6/mmm (No. 191) and the conventional cell measures 5.3074, 5.3074 and 7.4871 Å, with angles of 90.00, 90.00 and 120.00 degrees. Symmetry generates all atoms from Cu at (0.0000, 0.0000, 0.0000), Re at (0.0000, 0.5000, 0.5000), As at (0.0000, 0.0000, 0.5000) and As at (0.3333, 0.6667, 0.2135).

---

[12]
A geometry-optimized CuReSbAs structure. Source: the Open Quantum Materials Database, functional GGA-PBE.

The offset from the most stable computed form comes out at 0.325 eV/atom. As for the calculated total energy: -5.37 eV/atom.

The space group is F-43m (No. 216) and the conventional cell measures 6.477, 6.477 and 6.477 Å, with angles of 90.00, 90.00 and 90.00 degrees. Symmetry generates all atoms from Cu at (0.000, 0.000, 0.000), Re at (0.250, 0.250, 0.250), Sb at (0.250, 0.250, 0.750) and As at (0.000, 0.000, 0.500).

---

[13]
A geometry-optimized CuReSbAs structure. Source: the Open Quantum Materials Database, functional GGA-PBE.

The offset from the most stable computed form comes out at 0.000 eV/atom. As for the calculated total energy: -5.70 eV/atom.

The space group is F-43m (No. 216) and the conventional cell measures 6.441, 6.441 and 6.441 Å, with angles of 90.00, 90.00 and 90.00 degrees. Symmetry generates all atoms from Cu at (0.000, 0.000, 0.000), Re at (0.000, 0.000, 0.500), Sb at (0.250, 0.250, 0.750) and As at (0.250, 0.250, 0.250).

---

[14]
A geometry-optimized ScCuReAs structure. Source: the Open Quantum Materials Database, functional GGA-PBE.

The offset from the most stable computed form comes out at 0.000 eV/atom. As for the calculated total energy: -6.59 eV/atom.

The space group is F-43m (No. 216) and the conventional cell measures 6.284, 6.284 and 6.284 Å, with angles of 90.00, 90.00 and 90.00 degrees. Symmetry generates all atoms from Sc at (0.000, 0.000, 0.000), Cu at (0.250, 0.250, 0.750), Re at (0.250, 0.250, 0.250) and As at (0.000, 0.000, 0.500).

---

[15]
A geometry-optimized TaCuReAs structure. Source: the Open Quantum Materials Database, functional GGA-PBE.

The offset from the most stable computed form comes out at 0.000 eV/atom. As for the calculated total energy: -7.93 eV/atom.

The space group is F-43m (No. 216) and the conventional cell measures 6.180, 6.180 and 6.180 Å, with angles of 90.00, 90.00 and 90.00 degrees. Symmetry generates all atoms from Ta at (0.000, 0.000, 0.000), Cu at (0.250, 0.250, 0.250), Re at (0.000, 0.000, 0.500) and As at (0.250, 0.250, 0.750).

---

[16]
A geometry-optimized TaCuReAs structure. Source: the Open Quantum Materials Database, functional GGA-PBE.

The offset from the most stable computed form comes out at 0.032 eV/atom. As for the calculated total energy: -7.90 eV/atom.

The space group is F-43m (No. 216) and the conventional cell measures 6.257, 6.257 and 6.257 Å, with angles of 90.00, 90.00 and 90.00 degrees. Symmetry generates all atoms from Ta at (0.000, 0.000, 0.000), Cu at (0.250, 0.250, 0.750), Re at (0.250, 0.250, 0.250) and As at (0.000, 0.000, 0.500).

---

[17]
A geometry-optimized CuReTcAs structure. Source: the Open Quantum Materials Database, functional GGA-PBE.

The offset from the most stable computed form comes out at 0.000 eV/atom. As for the calculated total energy: -7.40 eV/atom.

The space group is F-43m (No. 216) and the conventional cell measures 6.154, 6.154 and 6.154 Å, with angles of 90.00, 90.00 and 90.00 degrees. Symmetry generates all atoms from Cu at (0.000, 0.000, 0.000), Re at (0.000, 0.000, 0.500), Tc at (0.250, 0.250, 0.250) and As at (0.250, 0.250, 0.750).

---

[18]
A geometry-optimized CuReAsW structure. Source: the Open Quantum Materials Database, functional GGA-PBE.

The offset from the most stable computed form comes out at 0.000 eV/atom. As for the calculated total energy: -7.94 eV/atom.

The space group is F-43m (No. 216) and the conventional cell measures 6.210, 6.210 and 6.210 Å, with angles of 90.00, 90.00 and 90.00 degrees. Symmetry generates all atoms from Cu at (0.000, 0.000, 0.000), Re at (0.000, 0.000, 0.500), As at (0.250, 0.250, 0.750) and W at (0.250, 0.250, 0.250).

---

[19]
A geometry-optimized YCuReAs structure. Source: the Open Quantum Materials Database, functional GGA-PBE.

The offset from the most stable computed form comes out at 0.000 eV/atom. As for the calculated total energy: -6.46 eV/atom.

The space group is F-43m (No. 216) and the conventional cell measures 6.504, 6.504 and 6.504 Å, with angles of 90.00, 90.00 and 90.00 degrees. Symmetry generates all atoms from Y at (0.000, 0.000, 0.000), Cu at (0.250, 0.250, 0.750), Re at (0.250, 0.250, 0.250) and As at (0.000, 0.000, 0.500).

---

[20]
A geometry-optimized YCuReAs structure. Source: the Open Quantum Materials Database, functional GGA-PBE.

The offset from the most stable computed form comes out at 0.204 eV/atom. As for the calculated total energy: -6.25 eV/atom.

The space group is F-43m (No. 216) and the conventional cell measures 6.605, 6.605 and 6.605 Å, with angles of 90.00, 90.00 and 90.00 degrees. Symmetry generates all atoms from Y at (0.000, 0.000, 0.000), Cu at (0.000, 0.000, 0.500), Re at (0.250, 0.250, 0.750) and As at (0.250, 0.250, 0.250).

---

[21]
A geometry-optimized ZnCuReAs structure. Source: the Open Quantum Materials Database, functional GGA-PBE.

The offset from the most stable computed form comes out at 0.396 eV/atom. As for the calculated total energy: -4.67 eV/atom.

The space group is F-43m (No. 216) and the conventional cell measures 6.208, 6.208 and 6.208 Å, with angles of 90.00, 90.00 and 90.00 degrees. Symmetry generates all atoms from Zn at (0.000, 0.000, 0.000), Cu at (0.000, 0.000, 0.500), Re at (0.250, 0.250, 0.750) and As at (0.250, 0.250, 0.250).

---

[22]
A geometry-optimized ZnCuReAs structure. Source: the Open Quantum Materials Database, functional GGA-PBE.

The offset from the most stable computed form comes out at 0.000 eV/atom. As for the calculated total energy: -5.07 eV/atom.

The space group is F-43m (No. 216) and the conventional cell measures 6.118, 6.118 and 6.118 Å, with angles of 90.00, 90.00 and 90.00 degrees. Symmetry generates all atoms from Zn at (0.000, 0.000, 0.000), Cu at (0.250, 0.250, 0.750), Re at (0.250, 0.250, 0.250) and As at (0.000, 0.000, 0.500).

---

[23]
A geometry-optimized Cu3As2S8 structure. Source: the Open Quantum Materials Database, functional GGA-PBE.

As for the calculated total energy: -4.15 eV/atom.

The space group is P-1 (No. 2) and the conventional cell measures 5.847, 6.868 and 7.450 Å, with angles of 66.94, 85.13 and 71.39 degrees. Symmetry generates all atoms from Cu at (0.000, 0.000, 0.000), Cu at (0.273, 0.582, 0.661), As at (0.463, 0.038, 0.223), S at (0.166, 0.290, 0.392), S at (0.248, 0.219, 0.923), S at (0.257, 0.783, 0.845) and S at (0.303, 0.537, 0.366).

---

[24]
A geometry-optimized CuSbAs2 structure. Source: the Open Quantum Materials Database, functional GGA-PBE.

As for the calculated total energy: -3.87 eV/atom.

The space group is F-43m (No. 216) and the conventional cell measures 6.776, 6.776 and 6.776 Å, with angles of 90.00, 90.00 and 90.00 degrees. Symmetry generates all atoms from Cu at (0.000, 0.000, 0.000), Sb at (0.250, 0.250, 0.750), As at (0.000, 0.000, 0.500) and As at (0.250, 0.250, 0.250).

---

[25]
A geometry-optimized Sr2Cu2SbAs structure. Source: the Open Quantum Materials Database, functional GGA-PBE.

As for the calculated total energy: -4.01 eV/atom.

The space group is P-6m2 (No. 187) and the conventional cell measures 4.4082, 4.4082 and 8.6867 Å, with angles of 90.00, 90.00 and 120.00 degrees. Symmetry generates all atoms from Sr at (0.0000, 0.0000, 0.2403), Cu at (0.3333, 0.6667, 0.5000), Cu at (0.6667, 0.3333, 0.0000), Sb at (0.6667, 0.3333, 0.5000) and As at (0.3333, 0.6667, 0.0000).

---

[26]
A geometry-optimized Sr2CuSbAs structure. Source: the Open Quantum Materials Database, functional GGA-PBE.

As for the calculated total energy: -3.93 eV/atom.

The space group is Cmc2_1 (No. 36) and the conventional cell measures 4.482, 16.166 and 8.013 Å, with angles of 90.00, 90.00 and 90.00 degrees. Symmetry generates all atoms from Sr at (0.000, 0.032, 0.000), Sr at (0.000, 0.228, 0.644), Cu at (0.000, 0.408, 0.856), Sb at (0.000, 0.427, 0.209) and As at (0.000, 0.154, 0.290).

---

[27]
A geometry-optimized TbCuSbAs structure. Source: the Open Quantum Materials Database, functional GGA-PBE.

The offset from the most stable computed form comes out at 0.043 eV/atom. As for the calculated total energy: -4.95 eV/atom.

The space group is P4/nmm (No. 129, origin choice 2) and the conventional cell measures 4.127, 4.127 and 9.901 Å, with angles of 90.00, 90.00 and 90.00 degrees. Symmetry generates all atoms from Tb at (0.250, 0.250, 0.227), Cu at (0.250, 0.750, 0.500), Sb at (0.250, 0.250, 0.667) and As at (0.250, 0.750, 0.000).